No. 1
A relaxed structure of SrAsO3, computed with PBE-GGA.

```
5
Lattice="4.4168 0.0000 0.0000 0.0000 4.4168 0.0000 0.0000 0.0000 4.4168" Properties=species:S:1:pos:R:3 pbc="T T T"
As 2.2084 2.2084 2.2084
O 0.0000 2.2084 0.0000
O 0.0000 0.0000 2.2084
O 2.2084 0.0000 0.0000
Sr 0.0000 0.0000 0.0000
```

Summary:
**Formation energy without anion corrections**: 0.100 eV per atom
**Crystal system**: cubic


No. 2
A relaxed structure of SmDyFe, computed with PBE-GGA.

```
3
Lattice="3.3709 0.0000 0.0000 0.0000 3.3709 0.0000 -1.6854 -1.6854 6.4747" Properties=species:S:1:pos:R:3 pbc="T T T"
Dy 0.0000 0.0000 0.5526
Sm 0.0000 0.0000 3.7915
Fe 1.6854 1.6854 2.1306
```

Summary:
**E above lowest polymorph**: 0.027 eV per atom
**Calculated formation energy**: 0.10 eV per atom
**Crystal system**: tetragonal


no.,ρ (g/cm³)
1,4.057
2,8.322